# SrAuSe2N (PBE, optimized geometry)
data_SrAuSe2N
_symmetry_space_group_name_H-M 'P 4/m m m'
_symmetry_Int_Tables_number 123
_symmetry_space_group_name_Hall '-P 4 2'
_cell_length_a 5.8464
_cell_length_b 5.8464
_cell_length_c 4.4068
_cell_angle_alpha 90.00
_cell_angle_beta 90.00
_cell_angle_gamma 90.00
loop_
_atom_site_label
_atom_site_type_symbol
_atom_site_fract_x
_atom_site_fract_y
_atom_site_fract_z
Sr1 Sr 0.0000 0.0000 0.0000
Au1 Au 0.5000 0.5000 0.5000
Se1 Se 0.0000 0.5000 0.0000
N1 N 0.0000 0.0000 0.5000
# Energy above the lowest structure with this stoichiometry in meV per atom: 1187
# DOS(E_F) in states/eV/atom: 1.655